(1)
A plane-wave DFT calculation with PBE was carried out for a relaxed LaSbOs crystal.

Values from the calculation:
The calculation puts the formation energy from raw total energies at -146 meV/atom. The total magnetic moment is 0.0 Bohr magnetons per cell. Its total energy is -6.9059 eV per atom.

Cell: 6.541 6.541 6.541 Å, 150.35 150.35 42.42°
Atoms (fractional coordinates):
La 0.000 0.000 0.000
Sb 0.287 0.287 0.000
Os 0.670 0.670 0.000

---

(2)
A plane-wave DFT calculation with PBE was carried out for a relaxed CuSiC3 crystal.

Values from the calculation:
The calculation puts the formation energy from raw total energies at 651 meV/atom. The total magnetic moment is 0.0 Bohr magnetons per cell. Its total energy is -6.7871 eV per atom. The calculation puts the excess energy over the best structure of this formula in the dataset at 0.177 eV/atom.

Cell: 4.587 4.587 6.370 Å, 124.70 124.70 40.89°
Atoms (fractional coordinates):
Cu 0.000 0.000 0.000
Si 0.803 0.803 0.129
C 0.325 0.325 0.310
C 0.433 0.433 0.575
C 0.538 0.538 0.829

---

(3)
A plane-wave DFT calculation with PBE was carried out for a relaxed Re2C2N crystal.

Values from the calculation:
The calculation puts the formation energy from raw total energies at 1469 meV/atom. The total magnetic moment is 0.0 Bohr magnetons per cell. Its total energy is -8.8650 eV per atom. The calculation puts the excess energy over the best structure of this formula in the dataset at 0.592 eV/atom.

Cell: 5.935 5.935 2.719 Å, 90.00 90.00 90.00°
Atoms (fractional coordinates):
Re 0.163 0.337 0.000
Re 0.337 0.837 0.000
Re 0.663 0.163 0.000
Re 0.837 0.663 0.000
C 0.134 0.634 0.500
C 0.366 0.134 0.500
C 0.634 0.866 0.500
C 0.866 0.366 0.500
N 0.000 0.000 0.500
N 0.500 0.500 0.500

---

(4)
A plane-wave DFT calculation with PBE was carried out for a relaxed PaPdS4 crystal.

Values from the calculation:
The calculation puts the formation energy from raw total energies at -844 meV/atom. The total magnetic moment is 0.0 Bohr magnetons per cell. Its total energy is -6.0440 eV per atom.

Cell: 6.425 6.315 6.304 Å, 90.00 99.35 90.00°
Atoms (fractional coordinates):
Pa 0.000 0.000 0.000
Pa 0.000 0.500 0.500
Pd 0.500 0.000 0.500
Pd 0.500 0.500 0.000
S 0.192 0.178 0.365
S 0.192 0.322 0.865
S 0.302 0.724 0.265
S 0.302 0.776 0.765
S 0.698 0.224 0.235
S 0.698 0.276 0.735
S 0.808 0.678 0.135
S 0.808 0.822 0.635

---

(5)
A plane-wave DFT calculation with PBE was carried out for a relaxed SmBi3Pb crystal.

Values from the calculation:
The total magnetic moment is 0.0 Bohr magnetons per cell. Its total energy is -4.2571 eV per atom. Its formation energy is -243 meV per atom.

Cell: 10.393 6.216 10.460 Å, 90.00 90.00 90.00°
Atoms (fractional coordinates):
Sm 0.123 0.004 0.250
Sm 0.123 0.496 0.750
Sm 0.877 0.504 0.250
Sm 0.877 0.996 0.750
Bi 0.032 0.750 0.000
Bi 0.032 0.750 0.500
Bi 0.218 0.001 0.750
Bi 0.218 0.499 0.250
Bi 0.433 0.601 0.750
Bi 0.433 0.899 0.250
Bi 0.567 0.101 0.750
Bi 0.567 0.399 0.250
Bi 0.782 0.501 0.750
Bi 0.782 0.999 0.250
Bi 0.968 0.250 0.000
Bi 0.968 0.250 0.500
Pb 0.366 0.250 0.000
Pb 0.366 0.250 0.500
Pb 0.634 0.750 0.000
Pb 0.634 0.750 0.500

---

(6)
A plane-wave DFT calculation with PBE was carried out for a relaxed Dy3AlAg crystal.

Values from the calculation:
The total magnetic moment is 0.0 Bohr magnetons per cell. Its total energy is -4.3289 eV per atom. Its formation energy is -249 meV per atom. The calculation puts the excess energy over the best structure of this formula in the dataset at 0.000 eV/atom.

Cell: 10.400 10.400 5.066 Å, 90.00 90.00 151.83°
Atoms (fractional coordinates):
Dy 0.063 0.937 0.750
Dy 0.249 0.751 0.750
Dy 0.434 0.566 0.750
Dy 0.566 0.434 0.250
Dy 0.751 0.249 0.250
Dy 0.937 0.063 0.250
Al 0.157 0.843 0.250
Al 0.843 0.157 0.750
Ag 0.339 0.661 0.250
Ag 0.661 0.339 0.750

---

(7)
A plane-wave DFT calculation with PBE was carried out for a relaxed CuGe2Ir crystal.

Values from the calculation:
The total magnetic moment is 0.0 Bohr magnetons per cell. Its total energy is -5.4746 eV per atom. Its formation energy is 73 meV per atom. The calculation puts the excess energy over the best structure of this formula in the dataset at 0.000 eV/atom.

Cell: 8.684 8.684 8.684 Å, 19.92 19.92 19.92°
Atoms (fractional coordinates):
Cu 0.000 0.000 0.000
Ge 0.092 0.092 0.092
Ge 0.908 0.908 0.908
Ir 0.500 0.500 0.500

---

(8)
A plane-wave DFT calculation with PBE was carried out for a relaxed Tb3DyTh crystal.

Values from the calculation:
The total magnetic moment is 0.0 Bohr magnetons per cell. Its total energy is -4.7617 eV per atom. Its formation energy is 421 meV per atom. The calculation puts the excess energy over the best structure of this formula in the dataset at 0.380 eV/atom.

Cell: 3.413 8.673 8.673 Å, 43.41 90.00 90.00°
Atoms (fractional coordinates):
Tb 0.000 0.000 0.000
Tb 0.500 0.079 0.601
Tb 0.500 0.601 0.079
Dy 0.500 0.174 0.174
Th 0.000 0.651 0.651

---

(9)
A plane-wave DFT calculation with PBE was carried out for a relaxed Pu2PaAl crystal.

Values from the calculation:
The total magnetic moment is 10.6 Bohr magnetons per cell. Its total energy is -9.5003 eV per atom. Its formation energy is 975 meV per atom. The calculation puts the excess energy over the best structure of this formula in the dataset at 1.030 eV/atom.

Cell: 9.222 9.222 9.222 Å, 24.26 24.26 24.26°
Atoms (fractional coordinates):
Pu 0.111 0.111 0.111
Pu 0.889 0.889 0.889
Pa 0.500 0.500 0.500
Al 0.000 0.000 0.000

---

(10)
A plane-wave DFT calculation with PBE was carried out for a relaxed Zr2CoH6 crystal.

Values from the calculation:
The total magnetic moment is 0.0 Bohr magnetons per cell. Its total energy is -5.2130 eV per atom.

Cell: 5.637 5.637 3.290 Å, 106.89 106.89 46.33°
Atoms (fractional coordinates):
Zr 0.162 0.162 0.163
Zr 0.838 0.838 0.837
Co 0.500 0.500 0.500
H 0.120 0.571 0.345
H 0.299 0.701 0.000
H 0.429 0.880 0.655
H 0.571 0.120 0.345
H 0.701 0.299 0.000
H 0.880 0.429 0.655

---

(11)
A plane-wave DFT calculation with PBE was carried out for a relaxed PtI4Br crystal.

Values from the calculation:
The calculation puts the formation energy from raw total energies at -4 meV/atom. The total magnetic moment is 0.0 Bohr magnetons per cell. Its total energy is -2.3228 eV per atom. The calculation puts the excess energy over the best structure of this formula in the dataset at 0.050 eV/atom.

Cell: 6.086 8.978 10.961 Å, 83.36 77.00 79.20°
Atoms (fractional coordinates):
Pt 0.189 0.075 0.343
Pt 0.811 0.925 0.657
I 0.086 0.810 0.455
I 0.113 0.853 0.819
I 0.271 0.356 0.270
I 0.443 0.062 0.813
I 0.557 0.938 0.187
I 0.729 0.644 0.730
I 0.887 0.147 0.181
I 0.914 0.190 0.545
Br 0.336 0.714 0.142
Br 0.664 0.286 0.858

---

(12)
A plane-wave DFT calculation with PBE was carried out for a relaxed CsKHgS2 crystal.

Values from the calculation:
The calculation puts the formation energy from raw total energies at -812 meV/atom. The total magnetic moment is 0.0 Bohr magnetons per cell. Its total energy is -2.9135 eV per atom.

Cell: 8.806 8.806 6.212 Å, 90.00 90.00 126.38°
Atoms (fractional coordinates):
Cs 0.250 0.750 0.772
Cs 0.750 0.250 0.228
K 0.250 0.250 0.500
K 0.750 0.750 0.500
Hg 0.000 0.000 0.000
Hg 0.500 0.500 0.000
S 0.117 0.883 0.235
S 0.383 0.617 0.235
S 0.617 0.383 0.765
S 0.883 0.117 0.765

---

Look up the total magnetic moment of the first one. 0.0 Bohr magnetons per cell

---

Which formula does entry 8 have? Tb3DyTh